# 1
TcB2Pt: optimized geometry, GGA-PBE.

## Properties
* SG: No. 216
* uncorrected energy: -6.259 eV per atom

a b c (Å): 4.0585 4.0585 4.0585
angles (deg): 60.00 60.00 60.00
With the nearest neighbours (Å) after each atom.
Fractional positions:
B: 0.5000 0.5000 0.5000  4 Tc 2.49, 4 B 2.49
B: 0.7500 0.7500 0.7500  4 B 2.49, 4 Pt 2.49
Pt: 0.0000 0.0000 0.0000  4 Tc 2.49, 4 B 2.49
Tc: 0.2500 0.2500 0.2500  4 Pt 2.49, 4 B 2.49

---

# 2
Tc2BPt: optimized geometry, GGA-PBE.

## Properties
* SG: No. 216
* uncorrected energy: -7.728 eV per atom

a b c (Å): 4.2327 4.2327 4.2327
angles (deg): 60.00 60.00 60.00
With the nearest neighbours (Å) after each atom.
Fractional positions:
B: 0.5000 0.5000 0.5000  4 Pt 2.59, 4 Tc 2.59
Pt: 0.2500 0.2500 0.2500  4 B 2.59, 4 Tc 2.59
Tc: 0.0000 0.0000 0.0000  4 Tc 2.59, 4 Pt 2.59
Tc: 0.7500 0.7500 0.7500  4 Tc 2.59, 4 B 2.59

---

# 3
ThB2Pt6: optimized geometry, GGA-PBE.

## Properties
* SG: No. 191
* uncorrected energy: -7.069 eV per atom

a b c (Å): 5.6196 5.6196 5.6076
angles (deg): 90.00 90.00 120.00
With the nearest neighbours (Å) after each atom.
Fractional positions:
B: 0.6667 0.3333 0.5000  6 Pt 2.15
B: 0.3333 0.6667 0.5000  6 Pt 2.15
Pt: 0.5000 0.0000 0.2477  2 B 2.15
Pt: 0.0000 0.5000 0.2477  2 B 2.15
Pt: 0.5000 0.5000 0.2477  2 B 2.15
Pt: 0.5000 0.0000 0.7523  2 B 2.15
Pt: 0.0000 0.5000 0.7523  2 B 2.15
Pt: 0.5000 0.5000 0.7523  2 B 2.15
Th: 0.0000 0.0000 0.0000  12 Pt 3.13